# AcLa2Pm7 GGA-PBE optimized geometry
data_AcLa2Pm7
_chemical_formula_sum 'Ac2 La4 Pm14'
_symmetry_space_group_name_H-M 'C 1 2/m 1'
_symmetry_Int_Tables_number 12
_cell_length_a 17.725
_cell_length_b 7.903
_cell_length_c 5.601
_cell_angle_alpha 90.00
_cell_angle_beta 108.35
_cell_angle_gamma 90.00
loop_
_symmetry_equiv_pos_as_xyz
'x,y,z'
'-x,-y,-z'
'-x,y,-z'
'x,-y,z'
'x+1/2,y+1/2,z'
'-x+1/2,-y+1/2,-z'
'-x+1/2,y+1/2,-z'
'x+1/2,-y+1/2,z'
loop_
_atom_site_label
_atom_site_type_symbol
_atom_site_fract_x
_atom_site_fract_y
_atom_site_fract_z
_atom_site_occupancy
Ac1 Ac 0.000 0.000 0.000 1
La1 La 0.213 0.000 0.213 1
Pm1 Pm 0.000 0.500 0.500 1
Pm2 Pm 0.132 0.204 0.632 1
Pm3 Pm 0.148 0.500 0.148 1
# - Energy above the most stable polymorph in this dataset: 0 meV per atom
# - ΔE_f: 0.20 eV per atom
# - Density of states at the Fermi level: 32.43 states/eV/cell